No. 1
Below is crystalline InGaSb at its relaxed geometry, with properties calculated at the GGA-PBE level.

Lattice parameters (Å, degrees): 4.231 4.231 5.177 90.00 90.00 120.00
Element x y z (fractional)
In: 0.000 0.000 0.000
Ga: 0.667 0.333 0.649
Sb: 0.333 0.667 0.390

## Properties
Magnetic moment   0.0000 μB per atom
Uncorrected formation energy   0.01 eV per atom
Polymorph energy (0 for the lowest one)   23 meV/atom
Space group   No. 156

---

No. 2
Below is crystalline In2Ga2Sb at its relaxed geometry, with properties calculated at the GGA-PBE level.

Lattice parameters (Å, degrees): 3.883 3.883 16.636 90.00 90.00 90.00
Element x y z (fractional)
In: 0.000 0.000 0.101
In: 0.000 0.000 0.899
In: 0.500 0.500 0.399
In: 0.500 0.500 0.601
Ga: 0.000 0.500 0.250
Ga: 0.000 0.500 0.750
Ga: 0.500 0.000 0.250
Ga: 0.500 0.000 0.750
Sb: 0.000 0.000 0.500
Sb: 0.500 0.500 0.000

## Properties
Magnetic moment   0.0000 μB per atom
Uncorrected formation energy   0.09 eV per atom
Polymorph energy (0 for the lowest one)   29 meV/atom
Space group   No. 139

---

No. 3
Below is crystalline In2Ga4Sb at its relaxed geometry, with properties calculated at the GGA-PBE level.

Lattice parameters (Å, degrees): 5.415 5.415 14.394 90.00 90.00 90.00
Element x y z (fractional)
In: 0.000 0.000 0.110
In: 0.000 0.000 0.890
In: 0.500 0.500 0.390
In: 0.500 0.500 0.610
Ga: 0.000 0.000 0.304
Ga: 0.000 0.000 0.696
Ga: 0.000 0.500 0.000
Ga: 0.000 0.500 0.500
Ga: 0.500 0.000 0.000
Ga: 0.500 0.000 0.500
Ga: 0.500 0.500 0.196
Ga: 0.500 0.500 0.804
Sb: 0.000 0.000 0.500
Sb: 0.500 0.500 0.000

## Properties
Magnetic moment   0.0000 μB per atom
Uncorrected formation energy   0.38 eV per atom
Space group   No. 139

---

No. 4
Below is crystalline InGa2Sb2 at its relaxed geometry, with properties calculated at the GGA-PBE level.

Lattice parameters (Å, degrees): 5.233 5.233 9.632 90.00 90.00 90.00
Element x y z (fractional)
In: 0.000 0.000 0.000
In: 0.500 0.500 0.500
Ga: 0.000 0.000 0.370
Ga: 0.000 0.000 0.630
Ga: 0.500 0.500 0.130
Ga: 0.500 0.500 0.870
Sb: 0.000 0.500 0.250
Sb: 0.000 0.500 0.750
Sb: 0.500 0.000 0.250
Sb: 0.500 0.000 0.750

## Properties
Magnetic moment   0.0000 μB per atom
Uncorrected formation energy   0.06 eV per atom
Polymorph energy (0 for the lowest one)   24 meV/atom
Space group   No. 139

---

No. 5
Below is crystalline InGaSb at its relaxed geometry, with properties calculated at the GGA-PBE level.

Lattice parameters (Å, degrees): 4.310 6.242 6.283 82.23 73.95 71.42
Element x y z (fractional)
In: 0.244 0.135 0.348
In: 0.756 0.865 0.652
Ga: 0.200 0.784 0.015
Ga: 0.800 0.216 0.985
Sb: 0.303 0.413 0.732
Sb: 0.697 0.587 0.268

## Properties
Magnetic moment   0.0000 μB per atom
Uncorrected formation energy   0.03 eV per atom
Polymorph energy (0 for the lowest one)   40 meV/atom
Space group   No. 2

---

No. 6
Below is crystalline InGaSb at its relaxed geometry, with properties calculated at the GGA-PBE level.

Lattice parameters (Å, degrees): 4.323 6.208 6.318 89.37 74.01 71.06
Element x y z (fractional)
In: 0.000 0.000 0.000
In: 0.251 0.288 0.296
Ga: 0.681 0.868 0.666
Ga: 0.903 0.541 0.959
Sb: 0.355 0.754 0.368
Sb: 0.604 0.356 0.683

## Properties
Magnetic moment   0.0000 μB per atom
Uncorrected formation energy   0.03 eV per atom
Polymorph energy (0 for the lowest one)   41 meV/atom
Space group   No. 1

---

No. 7
Below is crystalline InGaSb at its relaxed geometry, with properties calculated at the GGA-PBE level.

Lattice parameters (Å, degrees): 4.483 4.910 7.410 90.00 105.24 90.00
Element x y z (fractional)
In: 0.104 0.250 0.143
In: 0.896 0.750 0.857
Ga: 0.247 0.750 0.513
Ga: 0.753 0.250 0.487
Sb: 0.367 0.250 0.745
Sb: 0.633 0.750 0.255

## Properties
Magnetic moment   0.0000 μB per atom
Uncorrected formation energy   0.02 eV per atom
Polymorph energy (0 for the lowest one)   29 meV/atom
Space group   No. 11

---

No. 8
Below is crystalline InGa2Sb2 at its relaxed geometry, with properties calculated at the GGA-PBE level.

Lattice parameters (Å, degrees): 8.111 8.111 3.761 90.00 90.00 90.00
Element x y z (fractional)
In: 0.000 0.000 0.000
In: 0.500 0.500 0.000
Ga: 0.133 0.367 0.000
Ga: 0.367 0.867 0.000
Ga: 0.633 0.133 0.000
Ga: 0.867 0.633 0.000
Sb: 0.158 0.658 0.500
Sb: 0.342 0.158 0.500
Sb: 0.658 0.842 0.500
Sb: 0.842 0.342 0.500

## Properties
Magnetic moment   0.0000 μB per atom
Uncorrected formation energy   0.08 eV per atom
Polymorph energy (0 for the lowest one)   42 meV/atom
Space group   No. 127

---

No. 9
Below is crystalline InGa2Sb at its relaxed geometry, with properties calculated at the GGA-PBE level.

Lattice parameters (Å, degrees): 6.480 6.480 11.726 90.00 90.00 90.00
Element x y z (fractional)
In: 0.000 0.000 0.000
In: 0.000 0.500 0.250
In: 0.500 0.000 0.750
In: 0.500 0.500 0.500
Ga: 0.244 0.250 0.625
Ga: 0.250 0.744 0.875
Ga: 0.250 0.756 0.375
Ga: 0.256 0.250 0.125
Ga: 0.744 0.750 0.125
Ga: 0.750 0.244 0.375
Ga: 0.750 0.256 0.875
Ga: 0.756 0.750 0.625
Sb: 0.000 0.000 0.500
Sb: 0.000 0.500 0.750
Sb: 0.500 0.000 0.250
Sb: 0.500 0.500 0.000

## Properties
Magnetic moment   0.0000 μB per atom
Uncorrected formation energy   0.11 eV per atom
Polymorph energy (0 for the lowest one)   53 meV/atom
Space group   No. 122

---

No. 10
Below is crystalline InGaSb at its relaxed geometry, with properties calculated at the GGA-PBE level.

Lattice parameters (Å, degrees): 4.526 6.283 5.890 90.00 112.08 90.00
Element x y z (fractional)
In: 0.169 0.250 0.331
In: 0.831 0.750 0.669
Ga: 0.500 0.000 0.000
Ga: 0.500 0.500 0.000
Sb: 0.142 0.750 0.283
Sb: 0.858 0.250 0.717

## Properties
Magnetic moment   0.0000 μB per atom
Uncorrected formation energy   0.04 eV per atom
Polymorph energy (0 for the lowest one)   50 meV/atom
Space group   No. 11

---

No. 11
Below is crystalline InGaSb at its relaxed geometry, with properties calculated at the GGA-PBE level.

Lattice parameters (Å, degrees): 4.191 6.144 6.746 97.67 106.88 104.00
Element x y z (fractional)
In: 0.247 0.223 0.350
In: 0.753 0.777 0.650
Ga: 0.435 0.775 0.004
Ga: 0.565 0.225 0.996
Sb: 0.025 0.686 0.263
Sb: 0.975 0.314 0.737

## Properties
Magnetic moment   0.0000 μB per atom
Uncorrected formation energy   0.00 eV per atom
Polymorph energy (0 for the lowest one)   13 meV/atom
Space group   No. 2

---

No. 12
Below is crystalline InGaSb at its relaxed geometry, with properties calculated at the GGA-PBE level.

Lattice parameters (Å, degrees): 6.970 6.970 6.970 90.00 90.00 90.00
Element x y z (fractional)
In: 0.000 0.000 0.000
In: 0.000 0.500 0.500
In: 0.500 0.000 0.500
In: 0.500 0.500 0.000
Ga: 0.250 0.250 0.250
Ga: 0.250 0.750 0.750
Ga: 0.750 0.250 0.750
Ga: 0.750 0.750 0.250
Sb: 0.000 0.000 0.500
Sb: 0.000 0.500 0.000
Sb: 0.500 0.000 0.000
Sb: 0.500 0.500 0.500

## Properties
Magnetic moment   0.0000 μB per atom
Uncorrected formation energy   0.11 eV per atom
Polymorph energy (0 for the lowest one)   124 meV/atom
Space group   No. 216

---

No. 13
Below is crystalline In2Ga2Sb at its relaxed geometry, with properties calculated at the GGA-PBE level.

Lattice parameters (Å, degrees): 7.480 7.480 4.485 90.00 90.00 90.00
Element x y z (fractional)
In: 0.179 0.321 0.000
In: 0.321 0.821 0.000
In: 0.679 0.179 0.000
In: 0.821 0.679 0.000
Ga: 0.126 0.626 0.500
Ga: 0.374 0.126 0.500
Ga: 0.626 0.874 0.500
Ga: 0.874 0.374 0.500
Sb: 0.000 0.000 0.500
Sb: 0.500 0.500 0.500

## Properties
Magnetic moment   0.0000 μB per atom
Uncorrected formation energy   0.06 eV per atom
Polymorph energy (0 for the lowest one)   0 meV/atom
Space group   No. 127

---

| no. | energy (eV/atom) |
| --- | --- |
| 1 | -3.2825 |
| 2 | -3.0430 |
| 3 | -2.7226 |
| 4 | -3.3474 |
| 5 | -3.2654 |
| 6 | -3.2642 |
| 7 | -3.2766 |
| 8 | -3.3294 |
| 9 | -3.1197 |
| 10 | -3.2555 |
| 11 | -3.2922 |
| 12 | -3.1821 |
| 13 | -3.0719 |